# LiPr2YS5

A relaxed LiPr2YS5 crystal (PBE-GGA, Alexandria via LeMat-Bulk).

CIF file:
```
data_LiPr2YS5
_chemical_formula_sum 'Li4 Pr8 Y4 S20'
_cell_length_a 4.0095
_cell_length_b 16.5962
_cell_length_c 11.9691
_cell_angle_alpha 90.00
_cell_angle_beta 90.00
_cell_angle_gamma 90.00
_space_group_name_H-M_alt 'C m c 21'
_space_group_IT_number 36
_space_group_name_Hall 'C 2c -2'
loop_
_atom_site_label
_atom_site_fract_x
_atom_site_fract_y
_atom_site_fract_z
Li1 0.0000 0.0141 0.0000
Pr1 0.0000 0.3758 0.8159
Pr2 0.0000 0.3916 0.2034
Y1 0.0000 0.3025 0.5203
S1 0.0000 0.0009 0.8023
S2 0.0000 0.1375 0.5164
S3 0.0000 0.1928 0.8632
S4 0.0000 0.2129 0.1777
S5 0.0000 0.4531 0.5872
```

DFT total energy	-6.210	eV per atom
formation energy without anion corrections	-1924	meV per atom

***

# NaH4Pd

A relaxed NaH4Pd crystal (PBE-GGA, Alexandria via LeMat-Bulk).

CIF file:
```
data_NaH4Pd
_chemical_formula_sum 'Na2 H8 Pd2'
_cell_length_a 4.8321
_cell_length_b 4.8780
_cell_length_c 5.8318
_cell_angle_alpha 69.48
_cell_angle_beta 66.35
_cell_angle_gamma 89.98
_space_group_name_H-M_alt 'P -1'
_space_group_IT_number 2
_space_group_name_Hall '-P 1'
loop_
_atom_site_label
_atom_site_fract_x
_atom_site_fract_y
_atom_site_fract_z
Na1 0.2486 0.2502 0.9996
H1 0.1770 0.6473 0.1644
H2 0.2369 0.2383 0.5202
H3 0.2439 0.7400 0.5179
H4 0.3479 0.8515 0.8357
Pd1 0.0000 0.5000 0.5000
Pd2 0.5000 0.0000 0.5000
```

DFT total energy	-3.429	eV per atom

***

# NaIn3Ni

A relaxed NaIn3Ni crystal (PBE-GGA, Alexandria via LeMat-Bulk).

CIF file:
```
data_NaIn3Ni
_chemical_formula_sum 'Na2 In6 Ni2'
_cell_length_a 5.2009
_cell_length_b 7.1598
_cell_length_c 7.3548
_cell_angle_alpha 60.87
_cell_angle_beta 83.70
_cell_angle_gamma 89.96
_space_group_name_H-M_alt 'P -1'
_space_group_IT_number 2
_space_group_name_Hall '-P 1'
loop_
_atom_site_label
_atom_site_fract_x
_atom_site_fract_y
_atom_site_fract_z
Na1 0.0121 0.1349 0.2297
In1 0.0814 0.3908 0.7192
In2 0.5000 0.0000 0.0000
In3 0.4998 0.1968 0.5000
In4 0.5000 0.5000 0.0000
Ni1 0.4127 0.6050 0.2902
```

calculated formation energy	-0.0784	eV/atom
DFT total energy	-3.142	eV per atom

***

- Which value of DFT total energy does entry 2 give?
  -3.429 eV per atom

***

- DFT total energy of number 3 (NaIn3Ni)?
  -3.142 eV per atom

***

What did the first record say?
# LiPr2YS5

A relaxed LiPr2YS5 crystal (PBE-GGA, Alexandria via LeMat-Bulk).

CIF file:
```
data_LiPr2YS5
_chemical_formula_sum 'Li4 Pr8 Y4 S20'
_cell_length_a 4.0095
_cell_length_b 16.5962
_cell_length_c 11.9691
_cell_angle_alpha 90.00
_cell_angle_beta 90.00
_cell_angle_gamma 90.00
_space_group_name_H-M_alt 'C m c 21'
_space_group_IT_number 36
_space_group_name_Hall 'C 2c -2'
loop_
_atom_site_label
_atom_site_fract_x
_atom_site_fract_y
_atom_site_fract_z
Li1 0.0000 0.0141 0.0000
Pr1 0.0000 0.3758 0.8159
Pr2 0.0000 0.3916 0.2034
Y1 0.0000 0.3025 0.5203
S1 0.0000 0.0009 0.8023
S2 0.0000 0.1375 0.5164
S3 0.0000 0.1928 0.8632
S4 0.0000 0.2129 0.1777
S5 0.0000 0.4531 0.5872
```

DFT total energy	-6.210	eV per atom
formation energy without anion corrections	-1924	meV per atom

***

- Look up the DFT total energy of the second one.
  -3.429 eV per atom